(1)
Density functional theory data (GGA-PBE) for HoSbPdRh after structural relaxation.

* DOS(E_F): 3.161 states/eV/f.u.
* SG: F-43m, No. 216
* energy relative to the elements, uncorrected: -0.778 eV per atom

Lattice parameters (Å, degrees): 4.752 4.752 4.752 60.00 60.00 60.00
Positions (direct):
Sb: 0.250 0.250 0.250
Pd: 0.000 0.000 0.000
Ho: 0.750 0.750 0.750
Rh: 0.500 0.500 0.500



(2)
Density functional theory data (GGA-PBE) for HfHgP3 after structural relaxation.

* DOS(E_F): 3.957 states/eV/f.u.
* energy above the lowest structure with this stoichiometry: 0.000 eV per formula unit
* energy of formation from the pure elements: 0.364 eV per atom
* SG: Pm-3m, No. 221

Lattice parameters (Å, degrees): 4.998 4.998 4.998 90.00 90.00 90.00
Positions (direct):
Hg: 0.500 0.500 0.500
P: 0.000 0.000 0.500
P: 0.000 0.500 0.000
P: 0.500 0.000 0.000
Hf: 0.000 0.000 0.000



(3)
Density functional theory data (GGA-PBE) for TbPm4Al2 after structural relaxation.

* DOS(E_F): 8.243 states/eV/f.u.
* energy above the lowest structure with this stoichiometry: 0.422 eV per formula unit
* energy of formation from the pure elements: -0.012 eV per atom
* SG: I-42d, No. 122

Lattice parameters (Å, degrees): 8.152 8.152 8.152 110.26 107.90 110.26
Positions (direct):
Tb: 0.000 0.000 0.000
Tb: 0.750 0.500 0.250
Pm: 0.988 0.581 0.732
Pm: 0.268 0.256 0.849
Pm: 0.482 0.081 0.238
Pm: 0.599 0.756 0.518
Pm: 0.157 0.919 0.401
Pm: 0.762 0.244 0.843
Pm: 0.593 0.744 0.012
Pm: 0.151 0.419 0.407
Al: 0.375 0.904 0.779
Al: 0.875 0.096 0.471
Al: 0.529 0.404 0.625
Al: 0.221 0.596 0.125



(4)
Density functional theory data (GGA-PBE) for TaMn4Fe after structural relaxation.

* DOS(E_F): 6.578 states/eV/f.u.
* energy of formation from the pure elements: -0.020 eV per atom
* SG: F-43m, No. 216

Lattice parameters (Å, degrees): 4.704 4.704 4.704 60.00 60.00 60.00
Positions (direct):
Mn: 0.374 0.374 0.374
Mn: 0.374 0.878 0.374
Mn: 0.878 0.374 0.374
Mn: 0.374 0.374 0.878
Ta: 0.750 0.750 0.750
Fe: 0.000 0.000 0.000



(5)
Density functional theory data (GGA-PBE) for CePr3Sb3 after structural relaxation.

* DOS(E_F): 12.916 states/eV/f.u.
* energy above the lowest structure with this stoichiometry: 0.000 eV per formula unit
* SG: P2_13, No. 198
* energy relative to the elements, uncorrected: -1.024 eV per atom

Lattice parameters (Å, degrees): 9.564 9.564 9.564 90.00 90.00 90.00
Positions (direct):
Pr: 0.570 0.070 0.430
Pr: 0.820 0.680 0.320
Pr: 0.821 0.321 0.179
Pr: 0.179 0.821 0.321
Pr: 0.930 0.930 0.930
Pr: 0.679 0.679 0.679
Pr: 0.180 0.180 0.180
Pr: 0.430 0.570 0.070
Pr: 0.070 0.430 0.570
Pr: 0.320 0.820 0.680
Pr: 0.321 0.179 0.821
Pr: 0.680 0.320 0.820
Ce: 0.928 0.072 0.572
Ce: 0.072 0.572 0.928
Ce: 0.572 0.928 0.072
Ce: 0.428 0.428 0.428
Sb: 0.499 0.748 0.375
Sb: 0.375 0.499 0.748
Sb: 0.625 0.999 0.752
Sb: 0.748 0.375 0.499
Sb: 0.001 0.252 0.875
Sb: 0.252 0.875 0.001
Sb: 0.501 0.248 0.125
Sb: 0.875 0.001 0.252
Sb: 0.248 0.125 0.501
Sb: 0.999 0.752 0.625
Sb: 0.125 0.501 0.248
Sb: 0.752 0.625 0.999



(6)
Density functional theory data (GGA-PBE) for ReRh2Se after structural relaxation.

* DOS(E_F): 2.889 states/eV/f.u.
* SG: Pmm2, No. 25
* energy relative to the elements, uncorrected: 0.271 eV per atom

Lattice parameters (Å, degrees): 2.857 3.598 5.917 90.00 90.00 90.00
Positions (direct):
Re: 0.500 0.500 0.778
Rh: 0.000 0.000 0.990
Rh: 0.500 0.500 0.261
Se: 0.000 0.000 0.471



(7)
Density functional theory data (GGA-PBE) for Sm3CuTe6 after structural relaxation.

* DOS(E_F): 3.970 states/eV/f.u.
* SG: Cmc2_1, No. 36
* energy relative to the elements, uncorrected: -1.005 eV per atom

Lattice parameters (Å, degrees): 7.573 9.314 9.314 96.53 90.00 90.00
Positions (direct):
Sm: 0.882 0.606 0.394
Sm: 0.983 0.729 0.922
Sm: 0.983 0.078 0.271
Sm: 0.382 0.394 0.606
Sm: 0.483 0.922 0.729
Sm: 0.483 0.271 0.078
Te: 0.691 0.909 0.437
Te: 0.185 0.700 0.624
Te: 0.177 0.041 0.959
Te: 0.191 0.437 0.909
Te: 0.185 0.376 0.300
Te: 0.685 0.300 0.376
Te: 0.685 0.624 0.700
Te: 0.681 0.222 0.778
Te: 0.181 0.778 0.222
Te: 0.691 0.563 0.091
Te: 0.191 0.091 0.563
Te: 0.677 0.959 0.041
Cu: 0.028 0.215 0.785
Cu: 0.528 0.785 0.215



(8)
Density functional theory data (GGA-PBE) for NdAs2PdRh5 after structural relaxation.

* DOS(E_F): 10.806 states/eV/f.u.
* energy of formation from the pure elements: -0.280 eV per atom
* SG: P4/mmm, No. 123

Lattice parameters (Å, degrees): 4.173 4.173 8.907 90.00 90.00 90.00
Positions (direct):
Rh: 0.500 0.500 0.500
Rh: 0.000 0.500 0.262
Rh: 0.500 0.000 0.262
Rh: 0.000 0.500 0.738
Rh: 0.500 0.000 0.738
Pd: 0.000 0.000 0.000
As: 0.500 0.500 0.864
As: 0.500 0.500 0.136
Nd: 0.000 0.000 0.500



(9)
Density functional theory data (GGA-PBE) for Li2CuRh2O6 after structural relaxation.

* DOS(E_F): 8.859 states/eV/f.u.
* SG: C2/m, No. 12
* energy relative to the elements, uncorrected: -1.009 eV per atom

Lattice parameters (Å, degrees): 5.329 5.329 5.085 98.92 98.92 121.74
Positions (direct):
O: 0.949 0.590 0.277
O: 0.590 0.949 0.277
O: 0.051 0.410 0.723
O: 0.242 0.242 0.292
O: 0.410 0.051 0.723
O: 0.758 0.758 0.708
Rh: 0.335 0.665 0.500
Rh: 0.665 0.335 0.500
Li: 0.160 0.840 0.000
Li: 0.840 0.160 0.000
Cu: 0.000 0.000 0.500



(10)
Density functional theory data (GGA-PBE) for LiY2In2 after structural relaxation.

* DOS(E_F): 3.998 states/eV/f.u.
* energy above the lowest structure with this stoichiometry: 0.000 eV per formula unit
* energy of formation from the pure elements: -0.377 eV per atom
* SG: P4/mbm, No. 127

Lattice parameters (Å, degrees): 7.483 7.483 4.725 90.00 90.00 90.00
Positions (direct):
In: 0.858 0.642 0.000
In: 0.358 0.858 0.000
In: 0.142 0.358 0.000
In: 0.642 0.142 0.000
Y: 0.664 0.836 0.500
Y: 0.336 0.164 0.500
Y: 0.164 0.664 0.500
Y: 0.836 0.336 0.500
Li: 0.500 0.500 0.000
Li: 0.000 0.000 0.000



(11)
Density functional theory data (GGA-PBE) for SmY2Hf after structural relaxation.

* DOS(E_F): 6.397 states/eV/f.u.
* energy above the lowest structure with this stoichiometry: 1.055 eV per formula unit
* energy of formation from the pure elements: 0.389 eV per atom
* SG: R-3m, No. 166

Lattice parameters (Å, degrees): 3.362 3.362 12.258 82.12 82.12 60.00
Positions (direct):
Hf: 0.000 0.000 0.000
Y: 0.914 0.914 0.257
Y: 0.086 0.086 0.743
Sm: 0.500 0.500 0.500



(12)
Density functional theory data (GGA-PBE) for Tb4Ho5In2 after structural relaxation.

* DOS(E_F): 15.927 states/eV/f.u.
* energy of formation from the pure elements: 0.034 eV per atom
* SG: C2/m, No. 12

Lattice parameters (Å, degrees): 3.453 8.054 12.365 90.58 98.03 90.00
Positions (direct):
Tb: 0.089 0.263 0.179
Tb: 0.956 0.340 0.912
Tb: 0.911 0.737 0.821
Tb: 0.044 0.660 0.088
Ho: 0.225 0.302 0.450
Ho: 0.500 0.000 0.000
Ho: 0.837 0.098 0.674
Ho: 0.775 0.698 0.550
Ho: 0.163 0.902 0.326
In: 0.654 0.564 0.307
In: 0.346 0.436 0.693



(13)
Density functional theory data (GGA-PBE) for Ac2SiOs after structural relaxation.

* DOS(E_F): 3.745 states/eV/f.u.
* SG: Cm, No. 8
* energy relative to the elements, uncorrected: -0.385 eV per atom

Lattice parameters (Å, degrees): 4.274 4.274 8.392 75.40 75.40 59.98
Positions (direct):
Si: 0.458 0.458 0.625
Os: 0.791 0.791 0.626
Ac: 0.209 0.209 0.372
Ac: 0.042 0.042 0.877



(14)
Density functional theory data (GGA-PBE) for TbFe4Sb12 after structural relaxation.

* DOS(E_F): 13.274 states/eV/f.u.
* SG: Im-3, No. 204
* energy relative to the elements, uncorrected: -0.168 eV per atom

Lattice parameters (Å, degrees): 7.940 7.940 7.940 109.47 109.47 109.47
Positions (direct):
Sb: 0.838 0.667 0.505
Sb: 0.505 0.838 0.667
Sb: 0.171 0.838 0.333
Sb: 0.162 0.333 0.495
Sb: 0.495 0.162 0.333
Sb: 0.333 0.495 0.162
Sb: 0.162 0.667 0.829
Sb: 0.667 0.829 0.162
Sb: 0.333 0.171 0.838
Sb: 0.838 0.333 0.171
Sb: 0.667 0.505 0.838
Sb: 0.829 0.162 0.667
Tb: 0.000 0.000 0.000
Fe: 0.500 0.500 0.500
Fe: 0.000 0.500 0.000
Fe: 0.500 0.000 0.000
Fe: 0.000 0.000 0.500



(15)
Density functional theory data (GGA-PBE) for Na3RuBr after structural relaxation.

* DOS(E_F): 2.642 states/eV/f.u.
* energy above the lowest structure with this stoichiometry: 0.441 eV per formula unit
* SG: Pm-3m, No. 221
* energy relative to the elements, uncorrected: 0.518 eV per atom

Lattice parameters (Å, degrees): 5.697 5.697 5.697 90.00 90.00 90.00
Positions (direct):
Na: 0.500 0.000 0.000
Na: 0.000 0.500 0.000
Na: 0.000 0.000 0.500
Ru: 0.000 0.000 0.000
Br: 0.500 0.500 0.500



(16)
Density functional theory data (GGA-PBE) for LiInP2Cl after structural relaxation.

* DOS(E_F): 2.052 states/eV/f.u.
* energy above the lowest structure with this stoichiometry: 0.000 eV per formula unit
* SG: P4/mmm, No. 123
* energy relative to the elements, uncorrected: 0.332 eV per atom

Lattice parameters (Å, degrees): 5.036 5.036 5.561 90.00 90.00 90.00
Positions (direct):
P: 0.500 0.000 0.000
P: 0.000 0.500 0.000
Cl: 0.000 0.000 0.500
Li: 0.500 0.500 0.500
In: 0.000 0.000 0.000



(17)
Density functional theory data (GGA-PBE) for NaCeTlCl6 after structural relaxation.

* SG: P-31c, No. 163
* energy relative to the elements, uncorrected: -1.746 eV per atom

Lattice parameters (Å, degrees): 7.200 7.200 13.598 90.00 90.00 120.00
Positions (direct):
Cl: 0.355 0.376 0.861
Cl: 0.645 0.022 0.361
Cl: 0.376 0.355 0.361
Cl: 0.376 0.022 0.139
Cl: 0.978 0.355 0.139
Cl: 0.978 0.624 0.361
Cl: 0.022 0.376 0.639
Cl: 0.645 0.624 0.139
Cl: 0.624 0.645 0.639
Cl: 0.355 0.978 0.639
Cl: 0.624 0.978 0.861
Cl: 0.022 0.645 0.861
Ce: 0.333 0.667 0.750
Ce: 0.667 0.333 0.250
Tl: 0.000 0.000 0.000
Tl: 0.000 0.000 0.500
Na: 0.333 0.667 0.250
Na: 0.667 0.333 0.750



(18)
Density functional theory data (GGA-PBE) for Ce2BiS after structural relaxation.

* DOS(E_F): 11.039 states/eV/f.u.
* energy above the lowest structure with this stoichiometry: 0.000 eV per formula unit
* SG: R-3m, No. 166
* energy relative to the elements, uncorrected: -1.358 eV per atom

Lattice parameters (Å, degrees): 4.245 4.245 7.582 73.74 73.74 60.00
Positions (direct):
Ce: 0.237 0.237 0.289
Ce: 0.763 0.763 0.711
Bi: 0.000 0.000 0.000
S: 0.500 0.500 0.500



(19)
Density functional theory data (GGA-PBE) for ZrRh after structural relaxation.

* DOS(E_F): 1.127 states/eV/f.u.
* energy of formation from the pure elements: -0.804 eV per atom
* SG: Pnma, No. 62

Lattice parameters (Å, degrees): 4.506 5.316 6.158 90.00 90.00 90.00
Positions (direct):
Zr: 0.750 0.641 0.675
Zr: 0.250 0.359 0.325
Zr: 0.250 0.141 0.825
Zr: 0.750 0.859 0.175
Rh: 0.250 0.668 0.953
Rh: 0.750 0.168 0.547
Rh: 0.250 0.832 0.453
Rh: 0.750 0.332 0.047



(20)
Density functional theory data (GGA-PBE) for K2SrAu after structural relaxation.

* DOS(E_F): 2.426 states/eV/f.u.
* energy above the lowest structure with this stoichiometry: 1.563 eV per formula unit
* energy of formation from the pure elements: 0.115 eV per atom
* SG: Fm-3m, No. 225

Lattice parameters (Å, degrees): 6.169 6.169 6.169 60.00 60.00 60.00
Positions (direct):
K: 0.250 0.250 0.250
K: 0.750 0.750 0.750
Sr: 0.000 0.000 0.000
Au: 0.500 0.500 0.500